Below is a relaxed structure of Th2BiAu3, with properties calculated at the PBE level.

DFT formation energy: -0.50 eV/atom

abc: 3.522 4.713 19.400
angles: 90.00 90.00 90.00
Space group Imm2 (No. 44)
Unique sites:
Th: 0.000 0.000 0.000 [2 per cell]
Th: 0.000 0.500 0.206 [2 per cell]
Bi: 0.000 0.000 0.405 [2 per cell]
Au: 0.000 0.000 0.565 [2 per cell]
Au: 0.000 0.500 0.639 [2 per cell]
Au: 0.000 0.500 0.782 [2 per cell]

Below is a relaxed structure of Th3Bi2Au, with properties calculated at the PBE level.

DFT formation energy: -0.46 eV/atom

abc: 13.784 4.423 11.830
angles: 90.00 90.00 90.00
Space group Pnma (No. 62)
Unique sites:
Th: 0.069 0.250 0.089 [4 per cell]
Th: 0.124 0.750 0.552 [4 per cell]
Th: 0.228 0.750 0.251 [4 per cell]
Bi: 0.032 0.250 0.744 [4 per cell]
Bi: 0.198 0.750 0.960 [4 per cell]
Au: 0.087 0.250 0.374 [4 per cell]

Below is a relaxed structure of ThTlBiAu, with properties calculated at the PBE level.

DFT formation energy: -0.25 eV/atom

abc: 7.635 7.635 7.635
angles: 90.00 90.00 90.00
Space group F-43m (No. 216)
Unique sites:
Th: 0.000 0.000 0.000 [4 per cell]
Tl: 0.000 0.000 0.500 [4 per cell]
Bi: 0.250 0.250 0.750 [4 per cell]
Au: 0.250 0.250 0.250 [4 per cell]

Sequential mass density output: 13.03, 12.07, 12.57 g/cm³
Sequential uncorrected energy output: -5.255, -6.011, -4.484 eV/atom
Sequential DOS(E_F) output: 10.6, 21.1, 11.2 states/eV/cell